# Na3Li2MoO6 | the Alexandria database | GGA+U | optimized geometry
# **Magnetization**: 2.2 μB/cell
# **Density**: 3.41 g/cm3
# **Energy**: -5.371 eV/atom
data_Na3Li2MoO6
_chemical_formula_sum 'Na6 Li4 Mo2 O12'
_space_group_name_H-M_alt 'C 1 2/m 1'
_space_group_IT_number 12
_space_group_name_Hall '-C 2y'
_cell_length_a 5.384
_cell_length_b 9.292
_cell_length_c 5.653
_cell_angle_alpha 90.00
_cell_angle_beta 108.68
_cell_angle_gamma 90.00
loop_
_atom_site_label
_atom_site_fract_x
_atom_site_fract_y
_atom_site_fract_z
_atom_site_occupancy
Na1 0.000 0.000 0.000 1
Na2 0.000 0.322 0.000 1
Li1 0.000 0.168 0.500 1
Mo1 0.000 0.500 0.500 1
O1 0.219 0.350 0.708 1
O2 0.230 0.500 0.294 1